Entry 1:
Entry from the Alexandria database: crystalline Li3In2Ag5 at its relaxed geometry (PBE).

calculated formation energy = -0.0535 eV per atom

Cell: 10.435 14.141 5.350 Å, 90.00 90.00 90.00°
Space group Ibam (No. 72)
Symmetry-distinct sites (fractional):
Li (0.000, 0.000, 0.250) (multiplicity 4)
Li (0.108, 0.344, 0.000) (multiplicity 8)
In (0.090, 0.171, 0.500) (multiplicity 8)
Ag (0.000, 0.500, 0.250) (multiplicity 4)
Ag (0.237, 0.178, 0.000) (multiplicity 8)
Ag (0.239, 0.000, 0.250) (multiplicity 8)

***

Entry 2:
Entry from the Alexandria database: crystalline Li2In5Ag5 at its relaxed geometry (PBE).

calculated formation energy = -0.0831 eV per atom
ΔE to the lowest computed polymorph = 0.017 eV per atom

Cell: 13.516 4.872 8.214 Å, 90.00 115.56 90.00°
Space group C2/m (No. 12)
Symmetry-distinct sites (fractional):
Li (0.174, 0.000, 0.354) (multiplicity 4)
In (0.000, 0.000, 0.500) (multiplicity 2)
In (0.102, 0.000, 0.943) (multiplicity 4)
In (0.238, 0.500, 0.244) (multiplicity 4)
Ag (0.000, 0.500, 0.000) (multiplicity 2)
Ag (0.084, 0.500, 0.403) (multiplicity 4)
Ag (0.155, 0.500, 0.791) (multiplicity 4)

***

Entry 3:
Entry from the Alexandria database: crystalline LiIn3Ag2 at its relaxed geometry (PBE).

calculated formation energy = -0.0883 eV per atom
ΔE to the lowest computed polymorph = 0.009 eV per atom

Cell: 13.507 6.126 6.358 Å, 90.00 102.25 90.00°
Space group C2/c (No. 15)
Symmetry-distinct sites (fractional):
Li (0.000, 0.247, 0.250) (multiplicity 4)
In (0.000, 0.239, 0.750) (multiplicity 4)
In (0.177, 0.010, 0.099) (multiplicity 8)
Ag (0.138, 0.498, 0.564) (multiplicity 8)